Material: NdTmPuTh
Method: DFT, PBE
State: optimized geometry

Lattice parameters (Å, degrees): 5.604 5.604 5.604 60.00 60.00 60.00
Each line ends with the local moment (μB).
Sites, in units of the cell vectors:
Tm 0.000 0.000 0.000  0.35
Nd 0.250 0.250 0.250  0.26
Th 0.750 0.750 0.750  0.52
Pu 0.500 0.500 0.500  5.67

Properties
Its formation energy is 0.21 eV per atom.